A geometry-optimized ScIn structure. Source: the Alexandria database, functional GGA-PBEsol.

As for the total magnetization: 0.0 μB/f.u. For the total energy, the calculation gives -5.2184 eV per atom. For the formation energy, the calculation gives -0.424 eV/atom. The density of states at the Fermi level is 6.120 states/eV/cell.

Lattice parameters (Å, degrees): 3.6239 4.7419 10.2887 90.00 90.00 90.00
Positions (direct):
Sc  0.0000  0.2500  0.1232
Sc  0.0000  0.7500  0.8768
Sc  0.5000  0.2500  0.3768
Sc  0.5000  0.7500  0.6232
In  0.0000  0.2500  0.6336
In  0.0000  0.7500  0.3664
In  0.5000  0.2500  0.8664
In  0.5000  0.7500  0.1336